This record from the Alexandria database describes crystalline RbNa2BePt at its relaxed geometry. The functional is GGA-PBE.

a b c (Å): 7.366 7.366 6.411
angles (deg): 90.00 90.00 90.00
Space group P4/mmm (No. 123)
Inequivalent atoms, fractional coordinates:
Rb: 0.000 0.000 0.000 (multiplicity 1)
Na: 0.000 0.500 0.000 (multiplicity 2)
Be: 0.500 0.500 0.500 (multiplicity 1)
Pt: 0.000 0.000 0.500 (multiplicity 1)

As for the formation energy from the elements: 1.469 eV per atom.



This record from the Alexandria database describes crystalline Ce3Sn5O12 at its relaxed geometry. The functional is GGA-PBE.

a b c (Å): 13.594 13.594 13.594
angles (deg): 90.00 90.00 90.00
Space group Ia-3d (No. 230)
Inequivalent atoms, fractional coordinates:
Ce: 0.000 0.250 0.125 (multiplicity 24)
Sn: 0.000 0.000 0.000 (multiplicity 16)
Sn: 0.000 0.250 0.375 (multiplicity 24)
O: 0.018 0.062 0.645 (multiplicity 96)

The uncorrected formation energy comes out at -1969 meV/atom.



This record from the Alexandria database describes crystalline PrSmEr2 at its relaxed geometry. The functional is GGA-PBE.

a b c (Å): 5.098 5.098 5.025
angles (deg): 90.00 90.00 90.00
Space group P4/mmm (No. 123)
Inequivalent atoms, fractional coordinates:
Pr: 0.000 0.000 0.000 (multiplicity 1)
Sm: 0.500 0.500 0.000 (multiplicity 1)
Er: 0.000 0.500 0.500 (multiplicity 2)

As for the offset from the most stable computed form: 6 meV/atom. As for the formation energy from the elements: 0.023 eV per atom.



This record from the Alexandria database describes crystalline UGeI2 at its relaxed geometry. The functional is GGA-PBE.

a b c (Å): 3.7115 3.7115 32.0964
angles (deg): 90.00 90.00 120.00
Space group R-3m (No. 166, hexagonal axes)
Inequivalent atoms, fractional coordinates:
U: 0.0000 0.0000 0.0000 (multiplicity 3)
Ge: 0.0000 0.0000 0.5000 (multiplicity 3)
I: 0.0000 0.0000 0.0944 (multiplicity 6)

The uncorrected formation energy comes out at 482 meV/atom.



Number 1: final energy -1.21 eV/atom, total magnetization 0.00 μB/f.u.. Number 2: final energy -6.83 eV/atom, total magnetization 2.35 μB/f.u.. Number 3: final energy -4.63 eV/atom, total magnetization 0.00 μB/f.u.. Number 4: final energy -4.27 eV/atom, total magnetization 3.43 μB/f.u..